(1)
An optimized crystal structure of Na4Tl7Sb, computed with PBE.

Cell: 6.250 12.314 6.628 Å, 73.74 89.31 50.49°
Sites, in units of the cell vectors:
Na1 0.456 0.278 0.606
Na2 0.544 0.722 0.394
Na3 0.550 0.723 0.884
Na4 0.450 0.277 0.116
Tl1 0.839 0.929 0.539
Tl2 0.161 0.071 0.461
Tl3 0.122 0.664 0.160
Tl4 0.878 0.336 0.840
Tl5 0.185 0.584 0.702
Tl6 0.500 0.000 0.000
Tl7 0.815 0.416 0.298
Sb1 0.000 0.000 0.000

Results
E_form (uncorrected) ... -0.072 eV/atom
Uncorrected energy ... -2.235 eV per atom
SG ... P-1


(2)
An optimized crystal structure of Na2Tl4Sb, computed with PBE.

Cell: 6.166 8.553 9.366 Å, 121.13 90.00 90.00°
Sites, in units of the cell vectors:
Na1 0.250 0.191 0.000
Na2 0.750 0.809 0.000
Na3 0.750 0.621 0.573
Na4 0.250 0.379 0.427
Tl1 0.497 0.410 0.792
Tl2 0.250 0.936 0.173
Tl3 0.750 0.064 0.827
Tl4 0.003 0.410 0.792
Tl5 0.750 0.038 0.437
Tl6 0.997 0.590 0.208
Tl7 0.503 0.590 0.208
Tl8 0.250 0.962 0.563
Sb1 0.250 0.756 0.773
Sb2 0.750 0.244 0.227

Results
E_form (uncorrected) ... -0.103 eV/atom
Uncorrected energy ... -2.421 eV per atom
SG ... P2_1/m